First-principles (PBE) data for a relaxed Ba4Sb3 crystal, as listed in the Alexandria database.

abc: 9.1442 9.1442 9.1442
angles: 109.47 109.47 109.47
With the nearest neighbours (Å) after each atom.
Fractional coordinates of all 14 atoms:
Ba: 0.3561 0.5000 0.0000  6 Sb 3.53-3.79
Ba: 0.5000 0.3561 0.5000  6 Sb 3.53-3.79
Ba: 0.0000 0.0000 0.3561  6 Sb 3.53-3.79
Ba: 0.6439 0.1439 0.1439  6 Sb 3.53-3.79
Ba: 0.0000 0.0000 0.8561  6 Sb 3.53-3.79
Ba: 0.1439 0.6439 0.6439  6 Sb 3.53-3.79
Ba: 0.8561 0.5000 0.0000  6 Sb 3.53-3.79
Ba: 0.5000 0.8561 0.5000  6 Sb 3.53-3.79
Sb: 0.1250 0.3750 0.2500  8 Ba 3.53-3.79
Sb: 0.6250 0.7500 0.8750  8 Ba 3.53-3.79
Sb: 0.8750 0.2500 0.6250  8 Ba 3.53-3.79
Sb: 0.2500 0.8750 0.1250  8 Ba 3.53-3.79
Sb: 0.7500 0.6250 0.3750  8 Ba 3.53-3.79
Sb: 0.3750 0.1250 0.7500  8 Ba 3.53-3.79

Computed properties:
**Total DFT energy (no corrections)**: -54.41 eV for the cell shown
**V**: 42.04 Å³ per atom
**Formation energy (no corrections)**: -1021 meV/atom
**Excess energy over the best structure of this formula in the dataset**: 0.00 kcal/mol of atoms

First-principles (PBE) data for a relaxed GdHoRhPb crystal, as listed in the Alexandria database.

abc: 5.1641 5.1641 5.1641
angles: 60.00 60.00 60.00
With the nearest neighbours (Å) after each atom.
Fractional coordinates of all 4 atoms:
Pb: 0.5000 0.5000 0.5000  4 Gd 3.16, 4 Ho 3.16
Gd: 0.7500 0.7500 0.7500  4 Rh 3.16, 4 Pb 3.16
Rh: 0.0000 0.0000 0.0000  4 Ho 3.16, 4 Gd 3.16
Ho: 0.2500 0.2500 0.2500  4 Pb 3.16, 4 Rh 3.16

Computed properties:
**Total DFT energy (no corrections)**: -31.76 eV for the cell shown
**V**: 24.35 Å³ per atom
**Energy of formation from the pure elements**: -2.0 eV/f.u.

First-principles (PBE) data for a relaxed Ni2TeN crystal, as listed in the Alexandria database.

abc: 4.6190 4.6190 6.4241
angles: 68.93 68.93 90.00
With the nearest neighbours (Å) after each atom.
Fractional coordinates of all 8 atoms:
Ni: 0.4778 0.1250 0.2500  2 N 1.86
Ni: 0.2722 0.6250 0.2500  2 N 1.86
Ni: 0.3750 0.5222 0.7500  2 N 1.86
Ni: 0.8750 0.7278 0.7500  2 N 1.86
Te: 0.0000 0.0000 0.0000  4 Ni 2.57
Te: 0.7500 0.2500 0.5000  4 Ni 2.57
N: 0.5000 0.5000 0.0000  4 Ni 1.86
N: 0.2500 0.7500 0.5000  4 Ni 1.86

Computed properties:
**Total DFT energy (no corrections)**: -45.25 eV for the cell shown
**V**: 14.75 Å³ per atom
**Formation energy (no corrections)**: 101 meV/atom
**Excess energy over the best structure of this formula in the dataset**: 0.00 kcal/mol of atoms